A relaxed Pd2PtPb2 crystal. Source: Alexandria via LeMat-Bulk, functional PBE-GGA.

```
Pd2PtPb2
1.0
4.878 0.000 0.000
0.000 4.684 0.000
-0.640 0.000 9.340
Pd Pt Pb
4 2 4
Direct
0.179 0.250 0.003
0.218 0.250 0.320
0.782 0.750 0.680
0.821 0.750 0.997
0.327 0.750 0.163
0.673 0.250 0.837
0.252 0.750 0.475
0.298 0.750 0.836
0.702 0.250 0.164
0.748 0.250 0.525
```

## Properties
* magnetic moment: 0.00 μB/cell
* energy above the most stable polymorph in this dataset: 0.0000 eV per atom
* space-group type: P2_1/m (11)
* N(E_F): 5.58 states/eV per cell